Record 1
TbTmAg | GGA-PBE | optimized geometry

Output
The formation energy comes out at -0.204 eV/atom. Its uncorrected energy is -4.19 eV per atom. As for the energy above the lowest structure with this stoichiometry: 0.000 eV per atom.

abc: 7.0115 5.0273 9.0312
angles: 90.00 90.00 90.00
Closest atoms and distances in Å follow each position.
Space group Pnma (No. 62)
Asymmetric unit:
Tb  0.0167  0.2500  0.1848 x4  3 Ag 3.03-3.18
Tm  0.1515  0.2500  0.5770 x4  4 Ag 2.89-3.08
Ag  0.2409  0.2500  0.8977 x4  4 Tm 2.89-3.08, 3 Tb 3.03-3.18

---

Record 2
TbTm4Ag | GGA-PBE | optimized geometry

Output
The formation energy comes out at -0.079 eV/atom. Its uncorrected energy is -4.31 eV per atom. As for the energy above the lowest structure with this stoichiometry: 0.000 eV per atom.

abc: 3.5001 3.5001 13.8151
angles: 90.00 90.00 90.00
Closest atoms and distances in Å follow each position.
Space group P4/mmm (No. 123)
Asymmetric unit:
Tb  0.0000  0.0000  0.0000 x1  4 Tb 3.50, 8 Tm 3.52
Tm  0.0000  0.0000  0.3627 x2  4 Ag 3.12
Tm  0.5000  0.5000  0.1811 x2  8 Tm 3.50-3.52, 4 Tb 3.52
Ag  0.5000  0.5000  0.5000 x1  8 Tm 3.12

---

Record 3
Tb2TmAg6 | GGA-PBE | optimized geometry

Output
The formation energy comes out at -0.252 eV/atom. Its uncorrected energy is -3.68 eV per atom.

abc: 5.3017 16.1232 5.3053
angles: 90.00 119.67 90.00
Closest atoms and distances in Å follow each position.
Space group C2/m (No. 12)
Asymmetric unit:
Tb  0.0000  0.1646  0.0000 x4  10 Ag 3.06-3.16
Tm  0.0000  0.0000  0.5000 x2  10 Ag 3.03-3.13
Ag  0.1600  0.5000  0.8218 x4  5 Ag 2.97-3.13, 3 Tm 3.03-3.13, 2 Tb 3.08
Ag  0.1671  0.3350  0.3364 x8  5 Ag 3.03-3.13, 4 Tb 3.06-3.16, 1 Tm 3.07

---

Record 4
TbTmAg6 | GGA-PBE | optimized geometry

Output
The formation energy comes out at -0.215 eV/atom. Its uncorrected energy is -3.49 eV per atom.

abc: 9.3929 4.4450 8.8952
angles: 90.00 118.08 90.00
Closest atoms and distances in Å follow each position.
Space group C2/m (No. 12)
Asymmetric unit:
Tb  0.0000  0.0000  0.0000 x2  12 Ag 3.04-3.16
Tm  0.0000  0.0000  0.5000 x2  12 Ag 3.02-3.13
Ag  0.0020  0.5000  0.7482 x4  8 Ag 3.01-3.08, 2 Tm 3.13, 2 Tb 3.16
Ag  0.2492  0.0000  0.8713 x4  1 Tm 3.02, 8 Ag 3.02-3.19, 3 Tb 3.04-3.05
Ag  0.2488  0.5000  0.6219 x4  8 Ag 3.01-3.14, 3 Tm 3.03, 1 Tb 3.07

---

Record 5
Tb3Tm2Ag3 | GGA-PBE | optimized geometry

Output
The formation energy comes out at -0.225 eV/atom. Its uncorrected energy is -4.15 eV per atom.

abc: 3.6411 5.2657 21.5231
angles: 90.00 90.00 90.00
Closest atoms and distances in Å follow each position.
Space group Immm (No. 71)
Asymmetric unit:
Tb  0.0000  0.0000  0.0000 x2  8 Ag 3.14-3.20
Tb  0.0000  0.5000  0.1216 x4  6 Ag 3.19-3.20, 2 Tm 3.54
Tm  0.0000  0.0000  0.2317 x4  2 Ag 3.03, 4 Tm 3.30
Ag  0.0000  0.0000  0.5000 x2  8 Tb 3.19-3.20
Ag  0.0000  0.5000  0.3809 x4  2 Tm 3.03, 6 Tb 3.14-3.20

---

Record 6
Tb3TmAg2 | GGA-PBE | optimized geometry

Output
The formation energy comes out at -0.193 eV/atom. Its uncorrected energy is -4.20 eV per atom. As for the energy above the lowest structure with this stoichiometry: 0.003 eV per atom.

abc: 3.6228 3.6228 12.2427
angles: 90.00 90.00 90.00
Closest atoms and distances in Å follow each position.
Space group P4/mmm (No. 123)
Asymmetric unit:
Tb  0.0000  0.0000  0.0000 x1  8 Ag 3.16
Tb  0.0000  0.0000  0.3011 x2  4 Ag 3.15
Tm  0.5000  0.5000  0.5000 x1  8 Tb 3.53, 4 Tm 3.62
Ag  0.5000  0.5000  0.1508 x2  8 Tb 3.15-3.16

---

Record 7
Tb4Tm3Ag | GGA-PBE | optimized geometry

Output
The formation energy comes out at -0.050 eV/atom. Its uncorrected energy is -4.40 eV per atom.

abc: 3.5338 3.5338 18.8643
angles: 90.00 90.00 90.00
Closest atoms and distances in Å follow each position.
Space group P4/mmm (No. 123)
Asymmetric unit:
Tb  0.0000  0.0000  0.1032 x2  4 Ag 3.17, 4 Tb 3.53
Tb  0.0000  0.0000  0.3682 x2  8 Tm 3.51-3.53, 4 Tb 3.53
Tm  0.5000  0.5000  0.2373 x2  8 Tb 3.51-3.56, 4 Tm 3.53
Tm  0.5000  0.5000  0.5000 x1  8 Tb 3.53, 4 Tm 3.53
Ag  0.5000  0.5000  0.0000 x1  8 Tb 3.17, 4 Ag 3.53

---

Record 8
Tb2Tm2Ag | GGA-PBE | optimized geometry

Output
The formation energy comes out at -0.107 eV/atom. Its uncorrected energy is -4.32 eV per atom.

abc: 3.5221 3.5221 22.7417
angles: 90.00 90.00 90.00
Closest atoms and distances in Å follow each position.
Space group I4/mmm (No. 139)
Asymmetric unit:
Tb  0.0000  0.0000  0.1945 x4  8 Tb 3.52-3.55, 4 Tm 3.57
Tm  0.0000  0.0000  0.4177 x4  4 Ag 3.12
Ag  0.0000  0.0000  0.0000 x2  8 Tm 3.12